Computed, not measured: GdZnSO after structural relaxation at the PBE level of DFT.

abc: 7.185 10.732 7.077
angles: 90.00 90.00 90.00
Positions (direct):
Gd 0.038 0.294 0.119
Gd 0.462 0.794 0.119
Gd 0.538 0.294 0.381
Gd 0.962 0.794 0.381
Gd 0.038 0.206 0.619
Gd 0.462 0.706 0.619
Gd 0.538 0.206 0.881
Gd 0.962 0.706 0.881
O 0.712 0.306 0.109
O 0.788 0.806 0.109
O 0.212 0.306 0.391
O 0.288 0.806 0.391
O 0.712 0.194 0.609
O 0.788 0.694 0.609
O 0.212 0.194 0.891
O 0.288 0.694 0.891
S 0.511 0.053 0.230
S 0.989 0.553 0.230
S 0.011 0.053 0.270
S 0.489 0.553 0.270
S 0.511 0.447 0.730
S 0.989 0.947 0.730
S 0.011 0.447 0.770
S 0.489 0.947 0.770
Zn 0.709 0.492 0.019
Zn 0.791 0.992 0.019
Zn 0.209 0.492 0.481
Zn 0.291 0.992 0.481
Zn 0.709 0.008 0.519
Zn 0.791 0.508 0.519
Zn 0.209 0.008 0.981
Zn 0.291 0.508 0.981

Properties
- final energy (eV for the cell shown) = -176.06

Computed, not measured: GdZrS2O after structural relaxation at the PBE level of DFT.

abc: 6.265 6.265 8.447
angles: 93.02 93.02 33.40
Positions (direct):
Gd 0.740 0.740 0.299
Gd 0.260 0.260 0.701
O 0.167 0.167 0.436
O 0.833 0.833 0.564
S 0.147 0.147 0.069
S 0.428 0.428 0.288
S 0.572 0.572 0.712
S 0.853 0.853 0.931
Zr 0.500 0.500 0.000
Zr 0.000 0.000 0.500

Properties
- final energy (eV for the cell shown) = -75.71

Computed, not measured: GdSb2O4 after structural relaxation at the PBE level of DFT.

abc: 6.929 6.929 6.929
angles: 119.99 90.01 119.99
Positions (direct):
Gd 0.000 0.000 0.000
Gd 0.750 0.500 0.250
O 0.619 0.237 0.381
O 0.144 0.763 0.381
O 0.619 0.763 0.381
O 0.131 0.263 0.394
O 0.619 0.237 0.856
O 0.131 0.737 0.869
O 0.131 0.263 0.869
O 0.606 0.737 0.869
Sb 0.375 0.750 0.125
Sb 0.375 0.750 0.625
Sb 0.375 0.250 0.625
Sb 0.875 0.250 0.625

Properties
- final energy (eV for the cell shown) = -86.98

Computed, not measured: Gd2Sb2O5 after structural relaxation at the PBE level of DFT.

abc: 8.063 4.035 4.035
angles: 90.00 90.00 90.00
Positions (direct):
Gd 0.000 0.000 0.000
Gd 0.500 0.000 0.000
O 0.305 0.500 0.000
O 0.695 0.500 0.000
O 0.305 0.000 0.500
O 0.695 0.000 0.500
O 0.500 0.500 0.500
Sb 0.233 0.500 0.500
Sb 0.767 0.500 0.500

Properties
- final energy (eV for the cell shown) = -56.87

Computed, not measured: GdY2SbO7 after structural relaxation at the PBE level of DFT.

abc: 6.436 6.436 7.500
angles: 90.00 90.00 70.45
Positions (direct):
Gd 0.498 0.502 0.250
Gd 0.502 0.498 0.750
O 0.368 0.368 0.000
O 0.637 0.637 0.000
O 0.931 0.931 0.000
O 0.928 0.322 0.220
O 0.323 0.926 0.221
O 0.074 0.677 0.279
O 0.678 0.072 0.280
O 0.069 0.069 0.500
O 0.363 0.363 0.500
O 0.632 0.632 0.500
O 0.072 0.678 0.720
O 0.677 0.074 0.721
O 0.926 0.323 0.779
O 0.322 0.928 0.780
Sb 0.000 0.000 0.250
Sb 0.000 0.000 0.750
Y 0.532 0.000 0.001
Y 0.000 0.468 0.499
Y 0.468 0.000 0.501
Y 0.000 0.532 0.999

Properties
- final energy (eV for the cell shown) = -177.99

Computed, not measured: GdSc6O3 after structural relaxation at the PBE level of DFT.

abc: 6.931 6.931 6.931
angles: 109.45 109.45 109.51
Positions (direct):
Gd 0.000 0.000 0.000
O 0.500 0.500 0.000
O 0.750 0.250 0.500
O 0.250 0.750 0.500
Sc 0.281 0.281 0.000
Sc 0.719 0.719 0.000
Sc 0.340 0.000 0.340
Sc 0.000 0.340 0.340
Sc 0.660 0.000 0.660
Sc 0.000 0.660 0.660

Properties
- final energy (eV for the cell shown) = -60.31

Computed, not measured: Gd2Se2O after structural relaxation at the PBE level of DFT.

abc: 16.189 3.950 7.054
angles: 90.00 90.00 90.00
Positions (direct):
Gd 0.462 0.750 0.198
Gd 0.661 0.250 0.241
Gd 0.161 0.250 0.259
Gd 0.962 0.750 0.302
Gd 0.038 0.250 0.698
Gd 0.839 0.750 0.741
Gd 0.339 0.750 0.759
Gd 0.538 0.250 0.802
O 0.530 0.250 0.128
O 0.030 0.250 0.372
O 0.970 0.750 0.628
O 0.470 0.750 0.872
Se 0.099 0.750 0.009
Se 0.320 0.250 0.053
Se 0.820 0.250 0.447
Se 0.599 0.750 0.491
Se 0.401 0.250 0.509
Se 0.180 0.750 0.553
Se 0.680 0.750 0.947
Se 0.901 0.250 0.991

Properties
- final energy (eV for the cell shown) = -134.66

Computed, not measured: Gd3Se2O after structural relaxation at the PBE level of DFT.

abc: 3.792 3.792 10.053
angles: 90.00 90.00 120.00
Positions (direct):
Gd 0.667 0.333 0.126
Gd 0.000 0.000 0.500
Gd 0.333 0.667 0.874
O 0.000 0.000 0.000
Se 0.333 0.667 0.313
Se 0.667 0.333 0.687

Properties
- final energy (eV for the cell shown) = -38.08

Computed, not measured: Gd4Si2Se3O7 after structural relaxation at the PBE level of DFT.

abc: 10.958 10.958 10.958
angles: 114.25 114.25 100.28
Positions (direct):
Gd 0.827 0.173 0.000
Gd 0.173 0.827 0.000
Gd 0.577 0.077 0.155
Gd 0.697 0.458 0.239
Gd 0.542 0.781 0.239
Gd 0.208 0.469 0.261
Gd 0.053 0.792 0.261
Gd 0.173 0.173 0.345
Gd 0.577 0.423 0.500
Gd 0.923 0.077 0.500
Gd 0.827 0.827 0.655
Gd 0.208 0.947 0.739
Gd 0.531 0.792 0.739
Gd 0.542 0.303 0.761
Gd 0.219 0.458 0.761
Gd 0.923 0.423 0.845
O 0.269 0.269 0.000
O 0.731 0.731 0.000
O 0.306 0.043 0.019
O 0.713 0.976 0.019
O 0.525 0.294 0.231
O 0.706 0.936 0.231
O 0.793 0.274 0.237
O 0.444 0.963 0.237
O 0.306 0.287 0.263
O 0.957 0.976 0.263
O 0.044 0.314 0.269
O 0.225 0.956 0.269
O 0.444 0.207 0.481
O 0.037 0.274 0.481
O 0.019 0.519 0.500
O 0.481 0.981 0.500
O 0.793 0.556 0.519
O 0.726 0.963 0.519
O 0.044 0.775 0.731
O 0.686 0.956 0.731
O 0.024 0.043 0.737
O 0.713 0.694 0.737
O 0.726 0.207 0.763
O 0.037 0.556 0.763
O 0.064 0.294 0.769
O 0.706 0.475 0.769
O 0.024 0.287 0.981
O 0.957 0.694 0.981
Se 0.000 0.000 0.000
Se 0.500 0.500 0.000
Se 0.875 0.481 0.106
Se 0.231 0.625 0.106
Se 0.519 0.625 0.394
Se 0.875 0.769 0.394
Se 0.750 0.250 0.500
Se 0.250 0.750 0.500
Se 0.231 0.125 0.606
Se 0.375 0.481 0.606
Se 0.519 0.125 0.894
Se 0.375 0.769 0.894
Si 0.342 0.218 0.125
Si 0.782 0.907 0.125
Si 0.408 0.032 0.375
Si 0.968 0.343 0.375
Si 0.657 0.032 0.625
Si 0.968 0.592 0.625
Si 0.093 0.218 0.875
Si 0.782 0.658 0.875

Properties
- final energy (eV for the cell shown) = -477.72

Computed, not measured: SrGdSeO after structural relaxation at the PBE level of DFT.

abc: 4.803 4.803 10.078
angles: 90.00 103.78 120.00
Positions (direct):
Gd 0.574 0.787 0.361
Gd 0.426 0.213 0.639
O 0.415 0.708 0.123
O 0.585 0.292 0.877
Se 0.221 0.111 0.332
Se 0.779 0.889 0.668
Sr 0.748 0.374 0.122
Sr 0.252 0.626 0.878

Properties
- final energy (eV for the cell shown) = -45.83

Computed, not measured: SrGdSeO after structural relaxation at the PBE level of DFT.

abc: 10.061 10.061 10.061
angles: 27.64 27.64 27.64
Positions (direct):
Gd 0.213 0.213 0.213
Gd 0.787 0.787 0.787
O 0.293 0.293 0.293
O 0.707 0.707 0.707
Se 0.110 0.110 0.110
Se 0.890 0.890 0.890
Sr 0.374 0.374 0.374
Sr 0.626 0.626 0.626

Properties
- final energy (eV for the cell shown) = -45.83

Computed, not measured: Gd2Tc2Se2O5 after structural relaxation at the PBE level of DFT.

abc: 11.498 11.498 11.498
angles: 160.05 160.05 28.36
Positions (direct):
Gd 0.343 0.343 0.000
Gd 0.657 0.657 0.000
O 0.000 0.000 0.000
O 0.596 0.096 0.500
O 0.904 0.404 0.500
O 0.096 0.596 0.500
O 0.404 0.904 0.500
Se 0.204 0.204 0.000
Se 0.796 0.796 0.000
Tc 0.081 0.081 0.000
Tc 0.919 0.919 0.000

Properties
- final energy (eV for the cell shown) = -82.07